(1)
A plane-wave DFT calculation with GGA-PBE was carried out for Sc3VIr after structural relaxation.

The structure in POSCAR format:
```
Sc3VIr
1.0
-0.030 -4.613 -0.564
3.811 0.298 -2.644
2.660 -0.480 3.781
Sc V Ir
3 1 1
Direct
0.500 0.000 0.000 Sc
0.000 0.000 0.500 Sc
0.000 0.500 0.000 Sc
0.000 0.000 0.000 V
0.500 0.500 0.500 Ir
```

Properties
- density of states at the Fermi level (states/eV/f.u.) = 4.700
- energy of formation (eV/atom) = 0.640
- mass density (g/cm³) = 6.3
- SG = No. 221
- energy above the lowest structure with this stoichiometry (meV per atom) = 503

***

(2)
A plane-wave DFT calculation with GGA-PBE was carried out for NaOsS2 after structural relaxation.

The structure in POSCAR format:
```
NaOsS2
1.0
0.000 3.086 3.086
3.086 0.000 3.086
3.086 3.086 0.000
Os S Na
1 2 1
Direct
0.500 0.500 0.500 Os
0.750 0.750 0.750 S
0.250 0.250 0.250 S
0.000 0.000 0.000 Na
```

Properties
- density of states at the Fermi level (states/eV/f.u.) = 3.542
- mass density (g/cm³) = 7.8
- SG = No. 225
- uncorrected formation energy (eV/atom) = 0.13

***

(3)
A plane-wave DFT calculation with GGA-PBE was carried out for Rb2TiVS4 after structural relaxation.

The structure in POSCAR format:
```
Rb2TiVS4
1.0
-4.665 0.452 3.518
1.662 -0.901 7.200
-0.413 12.008 2.791
Rb V S Ti
4 2 8 2
Direct
0.176 0.000 0.647 Rb
0.824 0.000 0.353 Rb
0.574 0.500 0.853 Rb
0.926 0.500 0.147 Rb
0.750 0.500 0.500 V
0.000 0.000 0.000 V
0.900 0.812 0.898 S
0.461 0.688 0.398 S
0.850 0.688 0.602 S
0.289 0.812 0.102 S
0.141 0.312 0.398 S
0.203 0.188 0.898 S
0.547 0.312 0.602 S
0.609 0.188 0.102 S
0.500 0.000 0.000 Ti
0.250 0.500 0.500 Ti
```

Properties
- density of states at the Fermi level (states/eV/f.u.) = 2.748
- mass density (g/cm³) = 2.8
- SG = No. 70
- uncorrected formation energy (eV/atom) = -1.21

***

(4)
A plane-wave DFT calculation with GGA-PBE was carried out for HfTlAu after structural relaxation.

The structure in POSCAR format:
```
HfTlAu
1.0
-1.440 -6.440 -3.983
2.709 0.713 -2.197
3.094 -2.021 3.173
Hf Tl Au
2 2 2
Direct
0.953 0.681 0.214 Hf
0.597 0.639 0.653 Hf
0.210 0.626 0.785 Tl
0.308 0.136 0.303 Tl
0.663 0.229 0.151 Au
0.883 0.112 0.692 Au
```

Properties
- density of states at the Fermi level (states/eV/f.u.) = 2.033
- energy of formation (eV/atom) = -0.093
- mass density (g/cm³) = 14.5
- SG = No. 1

***

(5)
A plane-wave DFT calculation with GGA-PBE was carried out for Ce3IrPb after structural relaxation.

The structure in POSCAR format:
```
Ce3IrPb
1.0
1.785 -16.062 0.000
1.785 16.062 0.000
0.000 0.000 4.728
Ce Pb Ir
6 2 2
Direct
0.475 0.525 0.250 Ce
0.287 0.713 0.750 Ce
0.525 0.475 0.750 Ce
0.630 0.370 0.750 Ce
0.713 0.287 0.250 Ce
0.370 0.630 0.250 Ce
0.926 0.074 0.750 Pb
0.074 0.926 0.250 Pb
0.801 0.199 0.250 Ir
0.199 0.801 0.750 Ir
```

Properties
- density of states at the Fermi level (states/eV/f.u.) = 14.079
- energy of formation (eV/atom) = -0.410
- mass density (g/cm³) = 10.0
- SG = No. 63
- energy above the lowest structure with this stoichiometry (meV per atom) = 0

***

(6)
A plane-wave DFT calculation with GGA-PBE was carried out for MgBe2Mo after structural relaxation.

The structure in POSCAR format:
```
MgBe2Mo
1.0
2.743 0.000 0.000
0.000 2.743 0.000
0.000 0.000 6.790
Mo Be Mg
1 2 1
Direct
0.500 0.500 0.798 Mo
0.500 0.500 0.190 Be
0.000 0.000 0.046 Be
0.000 0.000 0.466 Mg
```

Properties
- density of states at the Fermi level (states/eV/f.u.) = 1.752
- energy of formation (eV/atom) = 0.208
- mass density (g/cm³) = 4.5
- SG = No. 99

***

(7)
A plane-wave DFT calculation with GGA-PBE was carried out for HoAgSn2 after structural relaxation.

The structure in POSCAR format:
```
HoAgSn2
1.0
-4.039 1.485 1.801
-1.155 -1.123 4.378
0.652 4.484 3.807
Sn Ho Ag
2 1 1
Direct
0.235 0.235 0.295 Sn
0.765 0.765 0.705 Sn
0.000 0.000 0.000 Ho
0.500 0.500 0.500 Ag
```

Properties
- density of states at the Fermi level (states/eV/f.u.) = 1.567
- energy of formation (eV/atom) = -0.264
- mass density (g/cm³) = 8.5
- SG = No. 166
- energy above the lowest structure with this stoichiometry (meV per atom) = 163

***

(8)
A plane-wave DFT calculation with GGA-PBE was carried out for BaCd2W after structural relaxation.

The structure in POSCAR format:
```
BaCd2W
1.0
-3.184 2.986 -3.459
-0.845 -3.530 -4.224
-0.841 -0.939 5.425
W Ba Cd
1 1 2
Direct
0.250 0.750 0.500 W
0.750 0.250 0.500 Ba
0.000 0.000 0.000 Cd
0.500 0.500 0.000 Cd
```

Properties
- density of states at the Fermi level (states/eV/f.u.) = 2.755
- energy of formation (eV/atom) = 0.887
- mass density (g/cm³) = 8.6
- SG = No. 139
- energy above the lowest structure with this stoichiometry (meV per atom) = 269

***

- mass density of number 5 (Ce3IrPb)?
  10.0 g/cm³